# 1
## Zr2Rh (GGA-PBE)

Data for a relaxed structure of Zr2Rh.

POSCAR file:
```
Zr2Rh
1.0
-2.437 0.657 -2.035
2.938 -0.719 -1.168
-1.629 -6.445 -0.132
Rh Zr
1 2
Cartesian
0.000 0.000 0.000
0.644 -2.248 -1.498
-1.771 -4.258 -1.837
```

Results
As for the calculated volume: 20.2 A^3/atom. As for the formation energy: -0.313 eV/atom.

***

# 2
## Mn2NbHOs (GGA-PBE)

Data for a relaxed structure of Mn2NbHOs.

POSCAR file:
```
Mn2NbHOs
1.0
-1.572 0.073 3.493
-3.106 -1.783 -1.360
1.644 -3.484 0.813
H Nb Mn Os
1 1 2 1
Cartesian
0.000 0.000 0.000
-1.517 -2.597 1.473
-1.553 -0.892 -0.680
-0.786 0.037 1.747
0.822 -1.742 0.407
```

Results
As for the calculated volume: 11.6 A^3/atom. Its total energy is -8.5924 eV per atom.

***

# 3
## InGaHg4 (GGA-PBE)

Data for a relaxed structure of InGaHg4.

POSCAR file:
```
InGaHg4
1.0
-0.418 -2.059 4.724
3.511 -3.687 0.904
6.109 0.571 6.039
In Ga Hg
1 1 4
Cartesian
0.000 0.000 0.000
4.600 -2.587 5.833
2.449 -3.308 3.928
6.751 -1.866 7.738
3.864 -0.291 4.097
5.337 -4.884 7.569
```

Results
As for the calculated volume: 26.3 A^3/atom. As for the formation energy: 0.050 eV/atom.

***

# 4
## CrCu2P (GGA-PBE)

Data for a relaxed structure of CrCu2P.

POSCAR file:
```
CrCu2P
1.0
4.869 0.000 0.000
2.365 4.257 0.000
-3.617 -2.128 2.469
Cr Cu P
1 2 1
Cartesian
2.435 0.000 1.235
0.000 0.000 0.000
3.617 2.128 0.000
1.182 2.128 1.235
```

Results
As for the calculated volume: 12.8 A^3/atom. As for the formation energy: 0.072 eV/atom.

***

# 5
## Sr6IrAu2N (GGA-PBE)

Data for a relaxed structure of Sr6IrAu2N.

POSCAR file:
```
Sr6IrAu2N
1.0
7.237 0.000 0.043
0.000 7.988 0.000
0.124 0.000 10.666
Sr Ir Au N
12 2 4 2
Cartesian
2.198 5.400 0.572
5.878 6.582 5.927
5.163 2.588 10.137
1.483 1.406 4.782
2.468 5.617 4.745
6.149 6.365 10.100
4.893 2.371 5.964
1.212 1.623 0.609
6.435 4.234 2.547
2.878 7.748 7.859
0.926 3.754 8.162
4.483 0.240 2.851
3.618 0.000 0.022
0.062 3.994 5.333
0.342 7.219 2.695
4.022 4.763 8.050
7.019 0.769 8.014
3.338 3.225 2.659
3.680 0.000 5.355
0.000 3.994 0.000
```

Results
As for the calculated volume: 30.8 A^3/atom. Its total energy is -3.8346 eV per atom.

***

# 6
## AlFeRh2 (GGA-PBE)

Data for a relaxed structure of AlFeRh2.

POSCAR file:
```
AlFeRh2
1.0
-2.306 1.552 -0.120
-2.004 -3.058 -1.041
-0.979 -1.068 5.023
Rh Fe Al
2 1 1
Cartesian
-0.949 -1.036 4.869
-2.431 -1.055 0.837
-2.905 -1.571 3.267
-0.473 -0.516 2.424
```

Results
As for the calculated volume: 13.8 A^3/atom. As for the formation energy: -0.376 eV/atom.

***

# 7
## BePt (GGA-PBE)

Data for a relaxed structure of BePt.

POSCAR file:
```
BePt
1.0
-1.511 0.121 -2.330
-1.550 -3.935 0.801
-3.114 1.655 2.105
Be Pt
2 2
Cartesian
-0.096 0.051 0.065
-4.030 -0.579 0.925
-1.618 -1.519 0.971
-2.507 0.991 0.019
```

Results
As for the calculated volume: 12.3 A^3/atom. As for the formation energy: -0.525 eV/atom.

***

# 8
## Si2BRh8 (GGA-PBE)

Data for a relaxed structure of Si2BRh8.

POSCAR file:
```
Si2BRh8
1.0
3.952 0.000 -1.203
-1.096 6.338 -3.600
-0.191 -0.647 6.465
Si B Rh
2 1 8
Cartesian
-0.052 4.181 -0.171
2.717 1.510 1.833
1.976 0.000 -0.601
1.516 5.521 -2.113
0.593 3.383 1.950
0.348 0.710 1.144
-0.355 2.055 -1.166
2.317 4.981 0.518
2.072 2.308 -0.287
1.149 0.170 3.775
3.020 3.636 2.829
```

Results
As for the calculated volume: 13.7 A^3/atom. Its total energy is -7.1655 eV per atom.

***

# 9
## PmCuGe2 (GGA-PBE)

Data for a relaxed structure of PmCuGe2.

POSCAR file:
```
PmCuGe2
1.0
-3.475 3.474 -1.531
-3.149 -1.069 -3.928
-4.597 -0.578 0.471
Ge Cu Pm
2 1 1
Cartesian
-2.969 0.362 -1.090
-8.252 1.464 -3.898
0.000 0.000 0.000
-5.611 0.913 -2.494
```

Results
As for the calculated volume: 20.6 A^3/atom. As for the formation energy: -0.184 eV/atom.

***

# 10
## BaAg2BSe4 (GGA-PBE)

Data for a relaxed structure of BaAg2BSe4.

POSCAR file:
```
BaAg2BSe4
1.0
-3.986 -4.352 3.595
2.130 -3.332 4.970
-4.028 1.933 4.514
Ba Ag B Se
1 2 1 4
Cartesian
0.000 0.000 0.000
-1.423 -4.174 6.652
-4.461 -1.576 6.427
-0.949 -0.700 4.742
-4.718 -3.019 8.683
-2.887 -1.260 4.269
0.247 -1.189 3.122
-4.410 -6.034 10.084
```

Results
As for the calculated volume: 24.2 A^3/atom. Its total energy is -4.1437 eV per atom.

***

# 11
## Zn2In2Sb (GGA-PBE)

Data for a relaxed structure of Zn2In2Sb.

POSCAR file:
```
Zn2In2Sb
1.0
-0.862 0.407 3.609
2.674 -2.439 0.914
6.581 5.442 2.888
Sb Zn In
1 2 2
Cartesian
0.000 0.000 0.000
3.313 2.417 4.379
5.080 0.994 3.031
2.151 0.401 2.399
6.242 3.010 5.012
```

Results
As for the calculated volume: 24.0 A^3/atom. Its total energy is -2.2909 eV per atom.

***

# 12
## Sm3HfP4 (GGA-PBE)

Data for a relaxed structure of Sm3HfP4.

POSCAR file:
```
Sm3HfP4
1.0
-0.250 -1.238 3.782
-6.905 0.094 -0.425
2.312 -6.242 -1.889
P Hf Sm
4 1 3
Cartesian
-1.063 -1.423 -0.536
-4.820 -2.044 1.115
-3.530 -4.724 -1.779
-0.023 -5.342 0.353
-0.125 -0.619 1.891
1.156 -3.121 -0.945
-2.422 -3.693 0.734
-3.453 0.047 -0.213
```

Results
As for the calculated volume: 22.5 A^3/atom. As for the formation energy: -1.485 eV/atom.

***

# 13
## Nd3YIr (GGA-PBE)

Data for a relaxed structure of Nd3YIr.

POSCAR file:
```
Nd3YIr
1.0
-2.317 1.398 4.913
-2.723 -4.903 0.111
4.322 -2.340 2.704
Y Ir Nd
1 1 3
Cartesian
-0.359 -2.922 3.864
0.000 0.000 0.000
-1.362 -2.451 0.056
2.161 -1.170 1.352
-1.158 0.699 2.457
```

Results
As for the calculated volume: 35.3 A^3/atom. As for the formation energy: -0.128 eV/atom.

***

# 14
## HfPaS2N (GGA-PBE)

Data for a relaxed structure of HfPaS2N.

POSCAR file:
```
HfPaS2N
1.0
-1.931 2.963 1.092
-0.073 -1.322 3.456
10.941 6.176 2.594
Hf Pa S N
2 2 4 2
Cartesian
-0.001 2.026 0.775
9.940 4.971 4.093
5.605 5.190 2.103
4.334 1.806 2.764
7.681 3.696 3.558
1.210 0.043 2.024
8.728 6.953 2.844
2.258 3.301 1.310
5.470 3.088 1.297
4.468 3.908 3.571
```

Results
As for the calculated volume: 17.6 A^3/atom. Its total energy is -8.8521 eV per atom.

***

# 15
## CaNi2Te (GGA-PBE)

Data for a relaxed structure of CaNi2Te.

POSCAR file:
```
CaNi2Te
1.0
-3.956 1.457 0.435
-1.280 -3.888 1.385
0.651 0.385 4.635
Ni Ca Te
2 1 1
Cartesian
0.409 -0.329 4.827
-2.081 0.032 1.613
-2.423 -1.914 5.026
-0.153 -1.202 2.635
```

Results
As for the calculated volume: 21.1 A^3/atom. Its total energy is -4.4717 eV per atom.

***

# 16
## MnV3Fe2 (GGA-PBE)

Data for a relaxed structure of MnV3Fe2.

POSCAR file:
```
MnV3Fe2
1.0
4.068 0.000 0.016
2.034 6.098 0.008
-0.023 0.000 5.734
Mn V Fe
2 6 4
Cartesian
2.034 2.026 0.008
4.068 4.072 0.016
4.051 2.038 4.325
2.028 0.000 1.441
2.028 4.060 1.433
4.062 2.038 1.442
2.017 4.060 4.317
2.017 0.000 4.309
0.000 0.000 0.000
-0.011 0.000 2.867
2.023 2.038 2.875
4.057 4.060 2.883
```

Results
As for the calculated volume: 11.9 A^3/atom. As for the formation energy: -0.170 eV/atom.

***

# 17
## NaCuAu2 (GGA-PBE)

Data for a relaxed structure of NaCuAu2.

POSCAR file:
```
NaCuAu2
1.0
3.758 -1.847 -1.917
0.941 -4.466 0.616
-0.419 -2.947 -3.514
Na Au Cu
1 2 1
Cartesian
0.000 0.000 0.000
1.070 -2.315 -1.204
3.210 -6.945 -3.611
2.140 -4.630 -2.407
```

Results
As for the calculated volume: 17.3 A^3/atom. As for the formation energy: -0.043 eV/atom.

***

# 18
## Zn5Ag4Au2 (GGA-PBE)

Data for a relaxed structure of Zn5Ag4Au2.

POSCAR file:
```
Zn5Ag4Au2
1.0
2.939 0.000 0.000
0.000 7.256 0.000
0.000 0.000 17.189
Zn Ag Au
10 8 4
Cartesian
0.000 3.628 0.000
0.000 0.000 8.595
0.000 1.966 3.475
0.000 5.290 13.714
0.000 5.593 5.120
0.000 1.662 12.070
0.000 2.707 7.465
0.000 4.549 9.724
0.000 6.335 1.129
0.000 0.921 16.060
1.470 2.050 9.688
1.470 5.205 7.502
1.470 5.678 16.097
1.470 1.578 1.093
1.470 3.066 14.770
1.470 4.189 2.419
1.470 6.694 11.014
1.470 0.562 6.176
1.470 3.314 5.255
1.470 3.941 11.934
1.470 6.942 3.340
1.470 0.314 13.850
```

Results
As for the calculated volume: 16.7 A^3/atom. As for the formation energy: -0.092 eV/atom.

***

# 19
## PmHf2GeO8 (GGA-PBE)

Data for a relaxed structure of PmHf2GeO8.

POSCAR file:
```
PmHf2GeO8
1.0
4.862 0.088 -0.003
0.138 4.862 -0.006
0.004 0.007 6.585
Pm Hf Ge O
1 2 1 8
Cartesian
0.002 0.004 3.293
2.503 2.481 4.961
2.501 2.477 1.616
0.000 0.000 0.000
1.066 3.924 1.348
3.541 3.511 6.579
3.935 1.029 1.350
3.938 1.033 5.228
1.463 1.447 -0.002
1.069 3.929 5.227
3.380 3.351 3.287
1.624 1.606 3.290
```

Results
As for the calculated volume: 13.0 A^3/atom. Its total energy is -8.4892 eV per atom.

***

# 20
## FeBi (GGA-PBE)

Data for a relaxed structure of FeBi.

POSCAR file:
```
FeBi
1.0
-2.528 -2.387 -2.175
1.715 -6.663 5.318
-5.443 1.945 4.192
Fe Bi
6 6
Cartesian
-2.648 -5.865 5.647
-3.862 -1.150 1.884
-0.784 -3.505 0.892
-0.283 -5.454 2.447
-3.215 1.148 2.476
0.365 -3.155 3.039
-3.491 -0.652 4.772
-2.852 -3.132 6.752
0.089 -4.956 5.335
-0.988 -0.773 1.997
-6.078 0.526 2.619
-2.498 -3.778 3.183
```

Results
As for the calculated volume: 21.2 A^3/atom. As for the formation energy: 0.348 eV/atom.

***

# 21
## Ta2V4Ni (GGA-PBE)

Data for a relaxed structure of Ta2V4Ni.

POSCAR file:
```
Ta2V4Ni
1.0
-2.224 -3.665 -0.286
2.989 -1.998 2.353
-2.836 -1.298 6.424
Ni V Ta
1 4 2
Cartesian
0.000 0.000 0.000
-1.679 -1.849 4.486
-0.392 -5.112 4.005
1.495 -0.999 1.177
-1.112 -1.833 -0.143
-0.418 -2.450 2.375
-1.653 -4.511 6.116
```

Results
As for the calculated volume: 17.0 A^3/atom. As for the formation energy: 0.981 eV/atom.

***

# 22
## RbTeI2Br (GGA-PBE)

Data for a relaxed structure of RbTeI2Br.

POSCAR file:
```
RbTeI2Br
1.0
-3.972 -1.829 -4.162
-3.802 -1.693 4.373
-2.395 5.285 -0.037
I Te Br Rb
2 1 1 1
Cartesian
-1.901 -0.846 2.186
-1.986 -0.915 -2.081
-1.197 2.642 -0.018
0.000 0.000 0.000
-5.085 0.881 0.087
```

Results
As for the calculated volume: 42.3 A^3/atom. Its total energy is -1.9903 eV per atom.

***

# 23
## TaRhW2 (GGA-PBE)

Data for a relaxed structure of TaRhW2.

POSCAR file:
```
TaRhW2
1.0
-0.397 1.594 -2.221
-1.020 1.567 2.034
7.807 3.570 1.167
Ta Rh W
1 1 2
Cartesian
-0.709 1.580 -0.094
3.195 3.365 0.490
2.069 0.946 0.309
5.738 2.624 0.858
```

Results
As for the calculated volume: 16.2 A^3/atom. As for the formation energy: -0.031 eV/atom.

***

# 24
## ErMgCl4 (GGA-PBE)

Data for a relaxed structure of ErMgCl4.

POSCAR file:
```
ErMgCl4
1.0
3.534 0.000 0.000
0.000 7.156 0.393
0.000 -2.298 6.525
Er Mg Cl
1 1 4
Cartesian
1.767 3.578 0.196
0.000 2.429 3.459
0.000 0.310 4.851
0.000 4.548 2.067
1.767 1.499 1.934
1.767 3.359 4.985
```

Results
As for the calculated volume: 28.0 A^3/atom. Its total energy is -4.0849 eV per atom.

***

# 25
## Rb2SnHg6Au (GGA-PBE)

Data for a relaxed structure of Rb2SnHg6Au.

POSCAR file:
```
Rb2SnHg6Au
1.0
7.893 0.185 -1.123
0.100 7.834 -1.057
3.231 3.256 4.650
Rb Sn Hg Au
2 1 6 1
Cartesian
7.709 3.940 0.963
3.515 7.336 1.507
0.000 0.000 0.000
3.632 3.594 1.707
9.201 9.194 3.024
6.009 9.818 2.635
5.215 1.458 -0.166
2.023 2.081 -0.554
7.592 7.682 0.763
3.997 4.010 -1.090
```

Results
As for the calculated volume: 34.2 A^3/atom. As for the formation energy: -0.145 eV/atom.

***

Result set for size of the total moment: 0.0, 3.4, 0.0, 3.3, 0.0, 3.6, 0.0, 0.0, 0.0, 0.0, 0.0, 0.0, 0.0, 0.0, 0.0, 1.3, 0.0, 0.0, 1.0, 2.5, 0.0, 0.0, 0.0, 0.0, 0.0 μB/f.u., one per record in the order listed.